Computed, not measured: a geometry-optimized Pm4CSe3 structure at the GGA-PBE level of DFT.

Results
**Crystal system**: orthorhombic
**E_tot**: -50.415 eV for the cell shown

a = 7.1579 Å, b = 7.1579 Å, c = 4.0290 Å
α = 90.00°, β = 90.00°, γ = 108.70°
Last column: nearest neighbours and their distance in Å.
Fractional coordinates of all 8 atoms:
Pm: 0.2144 0.2144 0.5000  2 C 2.69, 2 Se 2.92
Pm: 0.2253 0.7747 0.0000  1 C 2.62, 4 Se 2.91
Pm: 0.7747 0.2253 0.0000  1 C 2.62, 4 Se 2.91
Pm: 0.7856 0.7856 0.5000  2 C 2.69, 2 Se 2.92
C: 0.0000 0.0000 0.0000  6 Pm 2.62-2.69
Se: 0.0000 0.5000 0.5000  6 Pm 2.91-2.92
Se: 0.5000 0.0000 0.5000  6 Pm 2.91-2.92
Se: 0.5000 0.5000 0.0000  6 Pm 3.12-3.20



Computed, not measured: a geometry-optimized AlV5Os6 structure at the GGA-PBE level of DFT.

Results
**Crystal system**: orthorhombic
**E_tot**: -120.665 eV for the cell shown

a = 7.4076 Å, b = 7.4076 Å, c = 7.4076 Å
α = 146.57°, β = 131.93°, γ = 59.81°
Last column: nearest neighbours and their distance in Å.
Fractional coordinates of all 12 atoms:
Al: 0.0000 0.0000 0.0000  8 Os 2.60-2.61
V: 0.1699 0.6699 0.5000  8 Os 2.60-2.65
V: 0.3341 0.3341 0.0000  8 Os 2.61-2.63
V: 0.5000 0.0000 0.5000  8 Os 2.61-2.62
V: 0.6659 0.6659 0.0000  8 Os 2.61-2.63
V: 0.8301 0.3301 0.5000  8 Os 2.60-2.65
Os: 0.0821 0.8341 0.2480  7 V 2.60-2.63, 1 Al 2.60
Os: 0.2490 0.5000 0.7490  2 Al 2.61, 6 V 2.61-2.65
Os: 0.4139 0.1659 0.2480  7 V 2.60-2.63, 1 Al 2.60
Os: 0.5861 0.8341 0.7520  7 V 2.60-2.63, 1 Al 2.60
Os: 0.7510 0.5000 0.2510  2 Al 2.61, 6 V 2.61-2.65
Os: 0.9179 0.1659 0.7520  7 V 2.60-2.63, 1 Al 2.60



Which of these has the lowest E_tot? AlV5Os6



Repeat the first record exactly.
Computed, not measured: a geometry-optimized Pm4CSe3 structure at the GGA-PBE level of DFT.

Results
**Crystal system**: orthorhombic
**E_tot**: -50.415 eV for the cell shown

a = 7.1579 Å, b = 7.1579 Å, c = 4.0290 Å
α = 90.00°, β = 90.00°, γ = 108.70°
Last column: nearest neighbours and their distance in Å.
Fractional coordinates of all 8 atoms:
Pm: 0.2144 0.2144 0.5000  2 C 2.69, 2 Se 2.92
Pm: 0.2253 0.7747 0.0000  1 C 2.62, 4 Se 2.91
Pm: 0.7747 0.2253 0.0000  1 C 2.62, 4 Se 2.91
Pm: 0.7856 0.7856 0.5000  2 C 2.69, 2 Se 2.92
C: 0.0000 0.0000 0.0000  6 Pm 2.62-2.69
Se: 0.0000 0.5000 0.5000  6 Pm 2.91-2.92
Se: 0.5000 0.0000 0.5000  6 Pm 2.91-2.92
Se: 0.5000 0.5000 0.0000  6 Pm 3.12-3.20